The following is a GGA-PBE calculation of a geometry-optimized AcTmCo structure, from OQMD.

a = 4.901 Å, b = 4.901 Å, c = 4.901 Å
α = 60.00°, β = 60.00°, γ = 60.00°
Fractional coordinates of all 3 atoms:
Tm 0.750 0.750 0.750
Co 0.250 0.250 0.250
Ac 0.000 0.000 0.000

Calculated values
The calculation puts the total energy at -12.532 eV per cell. As for the space group: F-43m. Its spin magnetization is 0.0 μB per formula unit. The value obtained for the energy above the most stable polymorph in this dataset is 199 meV/atom.